V6CoIr | meta-GGA SCAN | single point on PBEsol structure

final energy	-24.592	eV/atom
DOS at the Fermi energy	0.538	states/eV per atom

Cell and atoms, written as extended XYZ:
```
8
Lattice="4.665 0.000 0.000 0.000 4.665 0.000 0.000 0.000 4.665" Properties=species:S:1:pos:R:3 pbc="T T T"
Ir 0.000 0.000 0.000
Co 2.333 2.333 2.333
V 0.000 2.333 3.478
V 2.333 1.187 0.000
V 3.478 0.000 2.333
V 0.000 2.333 1.187
V 2.333 3.478 0.000
V 1.187 0.000 2.333
```

LaZrCd | meta-GGA SCAN | single point on PBEsol structure

final energy	-34.678	eV/atom
DOS at the Fermi energy	1.131	states/eV per atom
excess energy over the best structure of this formula in the dataset	149	meV per atom

Cell and atoms, written as extended XYZ:
```
3
Lattice="-0.798 0.661 -3.071 -4.043 -3.247 0.351 -0.581 5.015 1.231" Properties=species:S:1:pos:R:3 pbc="T T T"
Cd -0.113 0.094 -0.437
La -2.269 2.704 -1.117
Zr -3.039 -0.368 0.064
```

TlIn2Hg | meta-GGA SCAN | single point on PBEsol structure

final energy	-51.780	eV/atom
DOS at the Fermi energy	0.461	states/eV per atom

Cell and atoms, written as extended XYZ:
```
8
Lattice="6.231 0.000 0.000 3.115 5.866 0.000 3.115 0.000 5.866" Properties=species:S:1:pos:R:3 pbc="T T T"
Tl 7.789 2.933 2.933
Tl 0.000 0.000 0.000
Hg 4.673 2.933 2.933
Hg 3.115 0.000 0.000
In 5.452 5.752 2.819
In 5.452 0.114 3.047
In 3.894 2.819 0.114
In 10.125 3.047 5.752
```